(1)
# KCu2Re, optimized geometry, DFT PBEsol
data_KCu2Re
_chemical_formula_sum 'K3 Cu6 Re3'
_space_group_name_H-M_alt 'R -3 m'
_space_group_IT_number 166
_space_group_name_Hall '-R 3 2"'
_cell_length_a 2.7273
_cell_length_b 2.7273
_cell_length_c 29.5442
_cell_angle_alpha 90.00
_cell_angle_beta 90.00
_cell_angle_gamma 120.00
loop_
_atom_site_label
_atom_site_type_symbol
_atom_site_fract_x
_atom_site_fract_y
_atom_site_fract_z
K1 K 0.0000 0.0000 0.0000
Cu1 Cu 0.0000 0.0000 0.2385
Re1 Re 0.0000 0.0000 0.5000
# - E above lowest polymorph: 0.00 eV per formula unit
# - Crystal system: trigonal
# - DOS(E_F): 0.63 states/eV/atom
# - Calculated formation energy: 0.779 eV/atom
# - Total magnetic moment: 0.000 μB per atom

(2)
# ZrAsAu3, optimized geometry, DFT PBEsol
data_ZrAsAu3
_chemical_formula_sum 'Zr1 As1 Au3'
_space_group_name_H-M_alt 'P m -3 m'
_space_group_IT_number 221
_space_group_name_Hall '-P 4 2 3'
_cell_length_a 5.0665
_cell_length_b 5.0665
_cell_length_c 5.0665
_cell_angle_alpha 90.00
_cell_angle_beta 90.00
_cell_angle_gamma 90.00
loop_
_atom_site_label
_atom_site_type_symbol
_atom_site_fract_x
_atom_site_fract_y
_atom_site_fract_z
Zr1 Zr 0.0000 0.0000 0.0000
As1 As 0.5000 0.5000 0.5000
Au1 Au 0.0000 0.0000 0.5000
# - Crystal system: cubic
# - DOS(E_F): 1.13 states/eV/atom
# - Calculated formation energy: 1.095 eV/atom
# - Total magnetic moment: 0.000 μB per atom